# 1
Material: Ba2Hg2BiO6
Method: DFT, GGA-PBE
State: optimized geometry

Output
* total moment: 0.00 Bohr magnetons per cell
* crystal system: trigonal
* theoretical density: 7.4 g/cm3
* energy relative to the elements, uncorrected: -1247 meV/atom
* space group: R-3m, No. 166
* DOS at the Fermi energy: 0.19 states/eV per atom

Cell: 6.5912 6.5912 6.9677 Å, 61.77 61.77 60.00°
Fractional coordinates of all 11 atoms:
Ba 0.7920 0.7920 0.6239
Ba 0.2080 0.2080 0.3761
Hg 0.4148 0.4148 0.7556
Hg 0.5852 0.5852 0.2444
Bi 0.0000 0.0000 0.0000
O 0.7695 0.7695 0.2599
O 0.2011 0.7695 0.2599
O 0.7695 0.2011 0.2599
O 0.2305 0.7989 0.7401
O 0.7989 0.2305 0.7401
O 0.2305 0.2305 0.7401

# 2
Material: BaBeRh
Method: DFT, GGA-PBE
State: optimized geometry

Output
* total moment: 0.00 Bohr magnetons per cell
* energy above the most stable polymorph in this dataset: 869.8 meV per atom
* crystal system: cubic
* theoretical density: 5.5 g/cm3
* energy of formation from the pure elements: 0.51 eV per atom
* space group: F-43m, No. 216
* DOS at the Fermi energy: 1.21 states/eV per atom

Cell: 4.7481 4.7481 4.7481 Å, 60.00 60.00 60.00°
Fractional coordinates of all 3 atoms:
Be 0.5000 0.5000 0.5000
Rh 0.7500 0.7500 0.7500
Ba 0.0000 0.0000 0.0000

# 3
Material: CrCd2Ni
Method: DFT, GGA-PBE
State: optimized geometry

Output
* total moment: 3.83 Bohr magnetons per cell
* energy above the most stable polymorph in this dataset: 78.5 meV per atom
* crystal system: orthorhombic
* theoretical density: 8.2 g/cm3
* energy of formation from the pure elements: 0.29 eV per atom
* space group: Imm2, No. 44
* DOS at the Fermi energy: 0.79 states/eV per atom

Cell: 5.4578 5.4578 5.4578 Å, 147.06 129.28 61.81°
Site moments in Bohr magnetons follow the coordinates.
Fractional coordinates of all 4 atoms:
Cd 0.0225 0.0225 0.0000  0.00
Cd 0.7445 0.2445 0.5000  -0.02
Cr 0.4699 0.4699 0.0000  3.26
Ni 0.2630 0.7630 0.5000  0.33

# 4
Material: NiSBrN2
Method: DFT, GGA-PBE
State: optimized geometry

Output
* total moment: 1.78 Bohr magnetons per cell
* energy above the most stable polymorph in this dataset: 895.3 meV per atom
* crystal system: tetragonal
* theoretical density: 3.5 g/cm3
* energy relative to the elements, uncorrected: 2252 meV/atom
* space group: P4/mmm, No. 123
* DOS at the Fermi energy: 1.10 states/eV per atom

Cell: 3.6202 3.6202 7.1992 Å, 90.00 90.00 90.00°
Site moments in Bohr magnetons follow the coordinates.
Fractional coordinates of all 5 atoms:
Ni 0.5000 0.5000 0.5000  0.95
S 0.0000 0.0000 0.5000  0.18
Br 0.0000 0.0000 0.0000  0.04
N 0.0000 0.5000 0.0000  0.18
N 0.5000 0.0000 0.0000  0.18

# 5
Material: Tb5Tl2Os
Method: DFT, GGA-PBE
State: optimized geometry

Output
* total moment: 0.00 Bohr magnetons per cell
* energy above the most stable polymorph in this dataset: 357.4 meV per atom
* crystal system: orthorhombic
* theoretical density: 8.1 g/cm3
* energy of formation from the pure elements: 0.06 eV per atom
* space group: Cmcm, No. 63
* DOS at the Fermi energy: 0.86 states/eV per atom

Cell: 5.5178 8.7422 12.4270 Å, 90.00 90.00 108.40°
Fractional coordinates of all 16 atoms:
Tb 0.9295 0.8589 0.8962
Tb 0.9295 0.8589 0.6038
Tb 0.2937 0.5873 0.4236
Tb 0.2937 0.5873 0.0764
Tb 0.7023 0.4045 0.2500
Tb 0.2977 0.5955 0.7500
Tb 0.7063 0.4127 0.5764
Tb 0.7063 0.4127 0.9236
Tb 0.0705 0.1411 0.1038
Tb 0.0705 0.1411 0.3962
Tl 0.8789 0.7579 0.3689
Tl 0.8789 0.7579 0.1311
Tl 0.1211 0.2421 0.6311
Tl 0.1211 0.2421 0.8689
Os 0.8128 0.6256 0.7500
Os 0.1872 0.3744 0.2500

# 6
Material: BaLi3Sn
Method: DFT, GGA-PBE
State: optimized geometry

Output
* total moment: 0.00 Bohr magnetons per cell
* energy above the most stable polymorph in this dataset: 0.0 meV per atom
* crystal system: cubic
* theoretical density: 3.2 g/cm3
* energy of formation from the pure elements: -0.25 eV per atom
* space group: Pm-3m, No. 221
* DOS at the Fermi energy: 0.53 states/eV per atom

Cell: 5.2585 5.2585 5.2585 Å, 90.00 90.00 90.00°
Fractional coordinates of all 5 atoms:
Li 0.0000 0.5000 0.0000
Li 0.0000 0.0000 0.5000
Li 0.5000 0.0000 0.0000
Ba 0.5000 0.5000 0.5000
Sn 0.0000 0.0000 0.0000

# 7
Material: BaYCd2Sb
Method: DFT, GGA-PBE
State: optimized geometry

Output
* total moment: 0.00 Bohr magnetons per cell
* crystal system: tetragonal
* theoretical density: 4.7 g/cm3
* energy relative to the elements, uncorrected: 343 meV/atom
* space group: P4/mmm, No. 123
* DOS at the Fermi energy: 0.87 states/eV per atom

Cell: 5.6405 6.3593 5.6405 Å, 90.00 90.00 90.00°
Fractional coordinates of all 5 atoms:
Y 0.5000 0.5000 0.5000
Sb 0.0000 0.0000 0.0000
Ba 0.0000 0.5000 0.0000
Cd 0.0000 0.0000 0.5000
Cd 0.5000 0.0000 0.0000

# 8
Material: Zr2ScHg2
Method: DFT, GGA-PBE
State: optimized geometry

Output
* total moment: 0.00 Bohr magnetons per cell
* energy above the most stable polymorph in this dataset: 101.1 meV per atom
* crystal system: tetragonal
* theoretical density: 9.1 g/cm3
* energy of formation from the pure elements: -0.10 eV per atom
* space group: P4/mbm, No. 127
* DOS at the Fermi energy: 0.93 states/eV per atom

Cell: 7.6161 7.6161 3.9498 Å, 90.00 90.00 90.00°
Fractional coordinates of all 10 atoms:
Sc 0.0000 0.0000 0.0000
Sc 0.5000 0.5000 0.0000
Hg 0.3679 0.8679 0.0000
Hg 0.8679 0.6321 0.0000
Hg 0.6321 0.1321 0.0000
Hg 0.1321 0.3679 0.0000
Zr 0.1721 0.6721 0.5000
Zr 0.6721 0.8279 0.5000
Zr 0.8279 0.3279 0.5000
Zr 0.3279 0.1721 0.5000

> Number 6 is which compound?

BaLi3Sn

> The highest theoretical density belongs to which entry?

Zr2ScHg2

> What is the total moment in the eighth record?

0.00 Bohr magnetons per cell